Below is a geometry-optimized Al2InCl structure, with properties calculated at the GGA-PBE level. Values from VASP.

Results
- energy relative to the elements, uncorrected (eV per formula unit) = 0.02
- SG = P4/mmm (123)

Cell and atoms, written as Quantum ESPRESSO input:
```
&SYSTEM
  ibrav = 0, nat = 4, ntyp = 3
/
ATOMIC_SPECIES
Al 26.98 Al.upf
In 114.82 In.upf
Cl 35.45 Cl.upf
ATOMIC_POSITIONS crystal
Al 0.500 0.500 0.000
Al 0.000 0.000 0.000
In 0.000 0.500 0.500
Cl 0.500 0.000 0.500
CELL_PARAMETERS angstrom
-1.458 0.525 -5.024
2.801 -4.269 -1.256
-2.513 -1.807 0.540
```

Below is a geometry-optimized TmTi2Pd9 structure, with properties calculated at the GGA-PBE level. Values from VASP.

Results
- calculated formation energy (meV/atom) = -746
- SG = P4/mmm (123)

Cell and atoms, written as Quantum ESPRESSO input:
```
&SYSTEM
  ibrav = 0, nat = 12, ntyp = 3
/
ATOMIC_SPECIES
Pd 106.42 Pd.upf
Ti 47.87 Ti.upf
Tm 168.93 Tm.upf
ATOMIC_POSITIONS crystal
Pd 0.500 0.500 0.661
Pd 0.500 0.000 0.179
Pd 0.500 0.500 0.339
Pd 0.500 0.000 0.500
Pd 0.000 0.500 0.821
Pd 0.000 0.500 0.179
Pd 0.500 0.500 0.000
Pd 0.500 0.000 0.821
Pd 0.000 0.500 0.500
Ti 0.000 0.000 0.665
Ti 0.000 0.000 0.335
Tm 0.000 0.000 0.000
CELL_PARAMETERS angstrom
3.984 0.000 0.000
0.000 3.984 0.000
0.000 0.000 11.933
```

Below is a geometry-optimized CaFe2Ru2 structure, with properties calculated at the GGA-PBE level. Values from VASP.

Results
- calculated formation energy (meV/atom) = 298
- SG = P4/mbm (127)

Cell and atoms, written as Quantum ESPRESSO input:
```
&SYSTEM
  ibrav = 0, nat = 10, ntyp = 3
/
ATOMIC_SPECIES
Ca 40.08 Ca.upf
Ru 101.07 Ru.upf
Fe 55.84 Fe.upf
ATOMIC_POSITIONS crystal
Ca 0.500 0.500 0.000
Ca 0.000 0.000 0.000
Ru 0.363 0.863 0.000
Ru 0.637 0.137 0.000
Ru 0.863 0.637 0.000
Ru 0.137 0.363 0.000
Fe 0.155 0.655 0.500
Fe 0.845 0.345 0.500
Fe 0.345 0.155 0.500
Fe 0.655 0.845 0.500
CELL_PARAMETERS angstrom
7.506 0.000 0.000
0.000 7.506 0.000
0.000 0.000 2.762
```

Below is a geometry-optimized Cd3GaHg structure, with properties calculated at the GGA-PBE level. Values from VASP.

Results
- calculated formation energy (meV/atom) = 384
- SG = Pm-3m (221)

Cell and atoms, written as Quantum ESPRESSO input:
```
&SYSTEM
  ibrav = 0, nat = 5, ntyp = 3
/
ATOMIC_SPECIES
Cd 112.41 Cd.upf
Ga 69.72 Ga.upf
Hg 200.59 Hg.upf
ATOMIC_POSITIONS crystal
Cd 0.000 0.500 0.000
Cd 0.000 0.000 0.500
Cd 0.500 0.000 0.000
Ga 0.500 0.500 0.500
Hg 0.000 0.000 0.000
CELL_PARAMETERS angstrom
5.401 0.000 0.000
0.000 5.401 0.000
0.000 0.000 5.401
```

no.,energy (eV/atom)
1,-3.013
2,-6.329
3,-7.198
4,-0.831